No. 1
20
Lattice="-5.8909 5.0526 -6.0860 -5.8159 0.6243 7.0131 6.7323 6.1461 -0.5487" Properties=species:S:1:pos:R:3 comment="PBE-GGA CaPr6Sm2Dy, optimized geometry" n_ef_per_ev_atom=1.34 e_form_ev_per_atom=0.115 pbc="T T T"
Ca -6.9678 2.0286 5.2982
Ca 1.9932 9.7943 -4.9198
Pr 3.9939 4.9802 0.1576
Pr 1.8013 7.7595 -1.4513
Pr -8.9684 6.8427 0.2208
Pr -6.7759 4.0634 1.8297
Pr -4.6176 4.9143 4.7360
Pr -4.2321 1.3809 2.7956
Pr -0.3569 6.9086 -4.3576
Pr -0.7424 10.4420 -2.4172
Pr -1.4497 4.1124 3.9823
Pr -3.2000 4.0310 1.0184
Pr -3.5248 7.7105 -3.6038
Pr -1.7745 7.7919 -0.6399
Sm -2.6772 7.0641 2.4814
Sm -0.7189 1.6310 1.7638
Sm -2.2973 4.7588 -2.1030
Sm -4.2557 10.1919 -1.3853
Dy 0.1335 5.1535 1.0189
Dy -5.1080 6.6694 -0.6404

No. 2
4
Lattice="-3.5857 -3.6505 3.2160 0.3960 -5.9921 -0.6813 2.3310 -3.3966 4.4222" Properties=species:S:1:pos:R:3 comment="PBE-GGA SrCaPrDy, optimized geometry" n_ef_per_ev_atom=1.31 e_form_ev_per_atom=0.170 pbc="T T T"
Pr -0.4293 -6.5196 3.4785
Sr 0.0000 0.0000 0.0000
Ca -0.6440 -9.7795 5.2177
Dy -0.2147 -3.2598 1.7392

No. 3
20
Lattice="-2.8900 -9.5392 -0.2091 8.4307 -1.7465 -2.8954 -1.4115 0.9763 8.9199" Properties=species:S:1:pos:R:3 comment="PBE-GGA CaTb2Pr6Dy, optimized geometry" n_ef_per_ev_atom=1.54 e_form_ev_per_atom=0.128 pbc="T T T"
Ca 1.8218 -2.5029 4.1188
Ca 2.3074 -7.8066 1.6966
Tb 4.4484 -5.0700 3.8633
Tb 2.0895 -0.7365 0.8997
Tb -0.3192 -5.2394 1.9521
Tb 2.0397 -9.5729 4.9157
Pr -0.2661 0.0465 6.4794
Pr -0.5603 -3.8156 7.1244
Pr 4.3953 -10.3559 -0.6640
Pr 4.6895 -6.4938 -1.3090
Pr 6.6686 -4.3534 0.9530
Pr 4.2509 -2.6652 -1.4500
Pr -2.5394 -5.9560 4.8624
Pr -0.1217 -7.6443 7.2654
Pr 4.9356 -1.9260 2.3800
Pr 2.7130 -4.1877 1.0498
Pr -0.8064 -8.3834 3.4354
Pr 1.4162 -6.1217 4.7657
Dy 7.4498 -4.0598 -2.6374
Dy -3.3206 -6.2496 8.4528

No. 4
4
Lattice="5.8143 0.0000 0.0000 2.9072 5.0354 0.0000 2.9072 1.6785 4.7474" Properties=species:S:1:pos:R:3 comment="PBE-GGA CaTbPrDy, optimized geometry" n_ef_per_ev_atom=1.65 e_form_ev_per_atom=0.135 pbc="T T T"
Pr 5.8143 3.3569 2.3737
Ca 2.9072 1.6785 1.1868
Tb 0.0000 0.0000 0.0000
Dy 8.7215 5.0354 3.5605

No. 5
12
Lattice="6.3554 0.0000 0.0129 -3.1762 5.5049 0.0129 -1.0775 -1.8658 11.7986" Properties=species:S:1:pos:R:3 comment="PBE-GGA CaTb3Pr6Dy2, optimized geometry" n_ef_per_ev_atom=1.13 e_form_ev_per_atom=0.029 pbc="T T T"
Ca 0.0000 0.0000 0.0000
Tb -2.1270 3.6549 5.9122
Tb 4.2287 -0.0158 5.9122
Tb 1.0509 1.8196 5.9122
Pr 3.1842 1.7688 8.8404
Pr 2.0954 3.6282 3.0063
Pr -1.0825 1.8703 2.9840
Pr -0.0593 3.6420 8.8404
Pr 0.0063 0.0109 8.8181
Pr 2.1610 -0.0029 2.9840
Dy 0.0000 3.6705 0.0129
Dy 3.1792 1.8344 0.0129

No. 6
8
Lattice="4.3973 0.0000 0.0000 0.0000 7.6727 -0.1771 0.0000 2.6778 7.2422" Properties=species:S:1:pos:R:3 comment="PBE-GGA CaPrDy2Te4, optimized geometry" n_ef_per_ev_atom=0.46 raw_formation_energy_ev_per_atom=-1.40 pbc="T T T"
Ca 2.1987 3.8363 -0.0885
Pr 0.0000 5.1752 3.5326
Dy 0.0000 2.6778 7.2422
Dy 2.1987 1.3389 3.6211
Te 0.0001 7.8285 5.3083
Te 4.3973 2.5219 1.7568
Te 2.1987 6.4833 1.6163
Te 2.1987 3.8672 5.4488

No. 7
8
Lattice="4.4235 0.0000 0.0000 0.0000 7.8557 -0.2323 0.0000 2.6906 7.2174" Properties=species:S:1:pos:R:3 comment="PBE-GGA CaPr2DyTe4, optimized geometry" n_ef_per_ev_atom=0.50 raw_formation_energy_ev_per_atom=-1.44 pbc="T T T"
Ca 2.2118 3.9279 -0.1162
Pr 0.0000 2.6906 7.2173
Pr 2.2118 1.3453 3.6087
Dy 0.0000 5.2731 3.4926
Te 0.0001 7.8231 5.2514
Te 4.4235 2.7233 1.7337
Te 2.2118 6.4749 1.6764
Te 2.2118 4.0714 5.3087

No. 8
12
Lattice="7.6945 -0.0046 -0.0012 -3.8493 6.6624 -0.0012 -1.2839 -2.2230 7.4885" Properties=species:S:1:pos:R:3 comment="PBE-GGA Ca2Pr3DyTe6, optimized geometry" n_ef_per_ev_atom=0.50 raw_formation_energy_ev_per_atom=-1.47 pbc="T T T"
Ca 0.0061 4.4358 -0.0012
Ca 3.8390 2.2221 -0.0012
Pr -2.5025 4.4023 3.7430
Pr 5.0638 0.0325 3.7430
Pr 1.2806 2.2174 3.7430
Dy 0.0000 0.0000 0.0000
Te 3.8308 2.2409 5.7149
Te 2.5795 4.4663 1.8228
Te -1.2695 2.1940 1.7711
Te 0.0265 4.4380 5.7149
Te -0.0182 -0.0315 5.6632
Te 2.5348 -0.0032 1.7711

No. 9
15
Lattice="-6.9443 0.0779 5.3894 8.0751 -1.2264 3.2534 -2.3177 8.0265 -3.1024" Properties=species:S:1:pos:R:3 comment="PBE-GGA Ca3PrDy3Te8, optimized geometry" n_ef_per_ev_atom=0.33 raw_formation_energy_ev_per_atom=-1.49 pbc="T T T"
Ca 0.0000 0.0000 0.0000
Ca 4.0375 -0.6132 1.6267
Ca 0.5654 -0.5743 4.3214
Pr -1.1589 4.0132 -1.5512
Dy -4.6310 4.0522 1.1435
Dy -0.5935 3.4390 2.7702
Dy 2.8787 3.4000 0.0755
Te 1.7247 1.4554 2.2012
Te -2.9116 5.4225 3.3392
Te -1.8132 1.4571 4.8117
Te 0.6263 5.4208 0.7287
Te -5.6884 2.0520 3.2511
Te 4.5014 4.8259 2.2893
Te -2.3552 2.0147 0.6643
Te 1.1683 4.8633 4.8761

No. 10
8
Lattice="-3.6139 2.5034 -0.5659 -1.0307 0.2333 7.6148 4.5241 6.0431 -2.1577" Properties=species:S:1:pos:R:3 comment="PBE-GGA Ca2PrDyTe4, optimized geometry" n_ef_per_ev_atom=0.46 raw_formation_energy_ev_per_atom=-1.48 pbc="T T T"
Ca 0.4551 4.2733 -1.3618
Ca 1.7467 3.1382 2.7285
Pr 0.0000 0.0000 0.0000
Dy -2.3223 1.3684 3.5245
Te -0.9264 2.8444 1.1396
Te 0.8059 5.9355 3.7516
Te 3.1352 4.6024 0.3381
Te 0.3582 1.6741 5.1189

No. 11
20
Lattice="-7.2935 6.7507 -0.2540 -5.5506 -7.0939 -1.0078 2.7269 2.2018 8.3585" Properties=species:S:1:pos:R:3 comment="PBE-GGA CaPr6Dy2Tm, optimized geometry" n_ef_per_ev_atom=1.54 e_form_ev_per_atom=0.131 pbc="T T T"
Ca -2.4192 0.1580 4.5352
Ca -7.6980 1.7006 2.5615
Pr 1.0709 1.2353 6.2745
Pr -2.1436 3.3095 7.0569
Pr -11.1882 0.6233 0.8221
Pr -7.9736 -1.4510 0.0398
Pr -6.5787 -3.7827 2.5349
Pr -4.3861 -2.7812 -0.3967
Pr -3.5386 5.6413 4.5617
Pr -5.7311 4.6398 7.4934
Pr -3.4766 -3.1095 3.4425
Pr -4.7295 -0.3563 1.8173
Pr -6.6406 4.9681 3.6541
Pr -5.3878 2.2149 5.2794
Dy -5.8610 -1.0613 4.9770
Dy -1.4121 -1.3568 1.3385
Dy -4.2562 2.9199 2.1196
Dy -8.7052 3.2154 5.7582
Tm -7.1516 -5.1564 -0.8196
Tm -2.9657 7.0150 7.9163

No. 12
16
Lattice="9.5043 -0.0252 -1.8571 -0.0319 9.5043 -1.8571 -6.0112 -6.0154 8.5733" Properties=species:S:1:pos:R:3 comment="PBE-GGA CaPr2DyY4, optimized geometry" n_ef_per_ev_atom=2.19 e_form_ev_per_atom=0.414 pbc="T T T"
Ca 1.7306 1.7318 2.4296
Ca 3.4931 -6.0406 6.7162
Pr 4.7521 -0.0126 -0.9285
Pr 1.7466 -3.0203 3.3581
Pr -3.0056 -3.0077 4.2867
Pr 4.7362 4.7395 -1.8571
Dy -0.0160 4.7521 -0.9285
Dy 6.4828 1.7192 1.5010
Y -3.6623 1.0973 6.7136
Y 4.1238 -0.6472 2.4323
Y -0.6626 4.1108 2.4269
Y 7.1237 2.3663 -1.8544
Y 7.0562 7.0132 -2.6763
Y 4.1947 4.1498 1.3918
Y -0.7335 -0.6861 3.4674
Y -3.5950 -3.5496 7.5355

No. 13
12
Lattice="6.3597 0.0004 0.0102 -3.1779 5.5087 0.0102 -1.0731 -1.8580 11.8014" Properties=species:S:1:pos:R:3 comment="PBE-GGA CaPr6Dy2Y3, optimized geometry" n_ef_per_ev_atom=1.10 e_form_ev_per_atom=0.026 pbc="T T T"
Ca 0.0000 0.0000 0.0000
Pr 3.1915 1.7787 8.8441
Pr 2.0977 3.6322 2.9973
Pr -1.0828 1.8724 2.9777
Pr -0.0543 3.6532 8.8441
Pr 0.0110 0.0190 8.8244
Pr 2.1630 -0.0021 2.9777
Dy 0.0005 3.6731 0.0102
Dy 3.1812 1.8361 0.0102
Y -2.1258 3.6622 5.9109
Y 4.2344 -0.0111 5.9109
Y 1.0543 1.8256 5.9109

No. 14
4
Lattice="-3.8887 -4.3246 -0.1974 1.0352 -4.9754 2.8350 -3.0967 -1.3470 4.7392" Properties=species:S:1:pos:R:3 comment="PBE-GGA CaPrDyY, optimized geometry" n_ef_per_ev_atom=1.63 e_form_ev_per_atom=0.131 pbc="T T T"
Pr -4.4627 -7.9853 5.5325
Y -1.4876 -2.6618 1.8442
Ca 0.0000 0.0000 0.0000
Dy -2.9751 -5.3235 3.6884

No. 15
16
Lattice="9.4705 -0.0374 -1.8398 -0.0440 9.4705 -1.8398 -5.9827 -5.9869 8.5274" Properties=species:S:1:pos:R:3 comment="PBE-GGA CaPrDy2Y4, optimized geometry" n_ef_per_ev_atom=2.23 e_form_ev_per_atom=0.426 pbc="T T T"
Ca 1.7219 1.7231 2.4240
Ca 3.4878 -6.0242 6.6876
Pr -0.0220 4.7352 -0.9199
Pr 6.4572 1.7044 1.5040
Dy 4.7353 -0.0187 -0.9199
Dy 1.7439 -3.0121 3.3438
Dy -2.9913 -2.9934 4.2637
Dy 4.7133 4.7165 -1.8398
Y 2.3816 7.0588 -1.8330
Y 4.1352 -0.7007 2.4172
Y -0.6915 4.1469 2.4307
Y 1.0623 -3.6126 6.6809
Y 6.9640 7.0142 -2.6158
Y 4.1391 4.1873 1.3602
Y -0.6953 -0.7410 3.4876
Y -3.5202 -3.5680 7.4637

No. 16
4
Lattice="-1.5374 2.8083 1.7671 0.1489 -1.8873 3.1287 9.5261 3.9902 1.9510" Properties=species:S:1:pos:R:3 comment="PBE-GGA CaPrDyY, optimized geometry" n_ef_per_ev_atom=1.54 e_form_ev_per_atom=0.055 pbc="T T T"
Ca 6.8291 1.6997 4.3484
Pr 3.3857 2.9596 3.1348
Dy 1.9763 -0.3314 3.3542
Y 8.4876 5.0967 4.1797

No. 17
4
Lattice="3.6006 0.0000 0.0000 0.0000 3.6006 0.0000 0.0000 0.0000 9.2782" Properties=species:S:1:pos:R:3 comment="PBE-GGA CaPrDyZn, optimized geometry" n_ef_per_ev_atom=1.27 e_form_ev_per_atom=-0.131 pbc="T T T"
Ca 0.0000 0.0000 1.1791
Pr 1.8003 1.8003 7.4124
Dy 0.0000 0.0000 4.8315
Zn 1.8003 1.8003 3.1357

No. 18
18
Lattice="6.9329 0.0000 3.1635 2.4636 7.6731 3.7794 0.1306 0.3732 8.8923" Properties=species:S:1:pos:R:3 comment="PBE-GGA CaDyPt, optimized geometry" n_ef_per_ev_atom=1.01 e_form_ev_per_atom=-0.831 pbc="T T T"
Ca 1.3278 0.5367 5.5221
Ca 7.6355 7.5096 10.0558
Ca 4.2422 5.8479 6.1350
Ca 3.0754 2.1984 8.6920
Ca 6.4717 3.8588 12.6123
Ca 2.4962 4.1875 2.9677
Dy 0.0642 0.0000 0.0293
Dy 1.3613 4.0231 6.3652
Dy 6.1898 2.9909 7.0940
Dy 5.0761 5.0554 9.5347
Dy 3.7792 1.0328 3.1984
Dy 7.4867 7.0135 13.4303
Pt 5.9347 2.1979 9.9960
Pt 7.1010 5.8484 7.4402
Pt 1.0354 1.3396 2.3846
Pt 5.0739 6.7067 11.8911
Pt 3.7769 2.6840 5.5549
Pt 2.3324 5.3623 8.7208

No. 19
12
Lattice="4.6663 -0.0280 1.5551 0.0382 7.0608 0.0127 0.0002 -0.0140 7.7779" Properties=species:S:1:pos:R:3 comment="PBE-GGA Ca5DyPt6, optimized geometry" n_ef_per_ev_atom=0.18 e_form_ev_per_atom=-0.960 pbc="T T T"
Ca 3.1291 3.5024 6.2315
Ca 1.5361 -0.0140 3.1694
Ca 0.0191 3.5304 0.0064
Ca 3.1305 -0.0280 6.1636
Ca 1.5757 3.5164 3.1142
Pt 3.9460 5.2929 3.8125
Pt 3.9266 1.7119 3.8061
Pt 2.3421 1.6386 0.7805
Pt 2.3624 5.3942 0.7873
Pt 0.7781 5.3069 5.5396
Pt 0.7588 1.7259 5.5332
Dy 0.0000 0.0000 0.0000

No. 20
4
Lattice="-2.3711 -2.2818 -2.4743 -3.0956 -2.2087 1.5779 -7.4553 5.5873 -1.4336" Properties=species:S:1:pos:R:3 comment="PBE-GGA CaDy2Pt, optimized geometry" n_ef_per_ev_atom=0.88 e_form_ev_per_atom=-0.576 pbc="T T T"
Ca -6.4414 0.5238 -1.1611
Dy -6.5562 4.4566 -1.2525
Dy -2.7326 -0.3519 -0.4822
Pt -3.6527 -2.9833 -0.5993

No. 21
3
Lattice="6.4231 0.0000 0.0000 0.0000 4.1273 0.0000 0.0000 -2.0637 3.5744" Properties=species:S:1:pos:R:3 comment="PBE-GGA CaDyPt, optimized geometry" n_ef_per_ev_atom=0.91 e_form_ev_per_atom=-0.716 pbc="T T T"
Ca 4.8450 2.0637 1.1915
Pt 0.1003 0.0000 0.0000
Dy 1.4778 0.0000 2.3829

No. 22
5
Lattice="-2.6439 1.7849 -4.5133 -1.5048 -5.1877 -1.1701 -4.6143 0.6690 2.9677" Properties=species:S:1:pos:R:3 comment="PBE-GGA CaDy3Pt, optimized geometry" n_ef_per_ev_atom=1.88 e_form_ev_per_atom=-0.385 pbc="T T T"
Ca -4.3815 -1.3669 -1.3579
Pt 0.0000 0.0000 0.0000
Dy -0.7524 -2.5939 -0.5851
Dy -2.3071 0.3345 1.4838
Dy -1.3220 0.8925 -2.2566